# 1
The following is a GGA-PBE calculation of a relaxed structure of Y2CdMo2, from Alexandria.

Cell lengths 7.3438, 7.3438, 4.3249 Å; angles 90.00, 90.00, 90.00 degrees
Positions (direct):
1 Y 0.8196 0.3196 0.5000
2 Y 0.3196 0.1804 0.5000
3 Y 0.1804 0.6804 0.5000
4 Y 0.6804 0.8196 0.5000
5 Mo 0.6106 0.1106 0.0000
6 Mo 0.8894 0.6106 0.0000
7 Mo 0.1106 0.3894 0.0000
8 Mo 0.3894 0.8894 0.0000
9 Cd 0.0000 0.0000 0.0000
10 Cd 0.5000 0.5000 0.0000

# 2
The following is a GGA-PBE calculation of a relaxed structure of Ce2ZrCd, from Alexandria.

Cell lengths 3.1405, 3.1405, 10.2147 Å; angles 90.00, 90.00, 90.00 degrees
Positions (direct):
1 Cd 0.5000 0.5000 0.5000
2 Zr 0.5000 0.5000 0.0000
3 Ce 0.0000 0.0000 0.2494
4 Ce 0.0000 0.0000 0.7506

Calculated values
- Energy above the most stable polymorph in this dataset: 0 meV/atom

# 3
The following is a GGA-PBE calculation of a relaxed structure of Sr3MgCd3, from Alexandria.

Cell lengths 4.8030, 6.8416, 15.7184 Å; angles 84.45, 81.21, 69.45 degrees
Positions (direct):
1 Cd 0.1244 0.2952 0.4560
2 Cd 0.8942 0.1339 0.0776
3 Cd 0.8756 0.7048 0.5440
4 Cd 0.1058 0.8661 0.9224
5 Cd 0.9625 0.8390 0.2361
6 Cd 0.0375 0.1610 0.7639
7 Sr 0.7446 0.7429 0.7680
8 Sr 0.5186 0.3426 0.6201
9 Sr 0.3902 0.2978 0.9219
10 Sr 0.4814 0.6574 0.3799
11 Sr 0.6098 0.7022 0.0781
12 Sr 0.2554 0.2571 0.2320
13 Mg 0.7613 0.0656 0.4117
14 Mg 0.2387 0.9344 0.5883

# 4
The following is a GGA-PBE calculation of a relaxed structure of TbHoTm2As4, from Alexandria.

Cell lengths 4.0928, 7.0846, 7.0857 Å; angles 70.53, 90.00, 90.00 degrees
Positions (direct):
1 As 0.0000 0.2460 0.2525
2 As 0.5000 0.2468 0.7500
3 As 0.5000 0.7532 0.2500
4 As 0.0000 0.7540 0.7475
5 Tb 0.5000 0.5000 0.0000
6 Tm 0.0000 0.0000 0.0000
7 Tm 0.5000 0.0000 0.5000
8 Ho 0.0000 0.5000 0.5000

Number 1: energy of formation from the pure elements 190 meV/atom, energy -6.911 eV per atom, M_tot 0.00 μB per cell. Number 2: energy of formation from the pure elements -35 meV/atom, energy -5.368 eV per atom, M_tot 0.00 μB per cell. Number 3: energy of formation from the pure elements -269 meV/atom, energy -1.610 eV per atom, M_tot 0.00 μB per cell. Number 4: energy of formation from the pure elements -1520 meV/atom, energy -6.113 eV per atom, M_tot 0.00 μB per cell.